Record 1
Y2Ag5 | PBE | relaxed

Properties
Calculated formation energy, eV/f.u.: -1.65

Unit cell a=7.599 b=13.064 c=6.108 alpha=90.00 beta=90.00 gamma=90.00
Space group Ibam (No. 72)
Unique sites:
Y 0.183 0.102 0.000 x8
Ag 0.000 0.279 0.250 x8
Ag 0.000 0.500 0.250 x4
Ag 0.221 0.133 0.500 x8

Record 2
Y4Ag | PBE | relaxed

Properties
Calculated formation energy, eV/f.u.: -0.01
Offset from the most stable computed form, eV/f.u.: 0.55

Unit cell a=12.134 b=15.217 c=6.341 alpha=90.00 beta=90.00 gamma=90.00
Space group Fdd2 (No. 43)
Unique sites:
Y 0.065 0.105 0.000 x16
Y 0.065 0.195 0.523 x16
Ag 0.000 0.000 0.579 x8

Record 3
Y3Ag2 | PBE | relaxed

Properties
Calculated formation energy, eV/f.u.: -1.27
Offset from the most stable computed form, eV/f.u.: 0.00

Unit cell a=3.624 b=3.624 c=19.741 alpha=90.00 beta=90.00 gamma=90.00
Space group P4/mmm (No. 123)
Unique sites:
Y 0.000 0.000 0.000 x1
Y 0.000 0.000 0.187 x2
Y 0.000 0.000 0.373 x2
Y 0.500 0.500 0.500 x1
Ag 0.500 0.500 0.093 x2
Ag 0.500 0.500 0.280 x2

Record 4
Y3Ag5 | PBE | relaxed

Properties
Calculated formation energy, eV/f.u.: -1.68
Offset from the most stable computed form, eV/f.u.: 0.39

Unit cell a=8.5949 b=8.5949 c=5.7679 alpha=90.00 beta=90.00 gamma=120.00
Space group P6_3/mcm (No. 193)
Unique sites:
Y 0.0000 0.2548 0.2500 x6
Ag 0.0000 0.3976 0.7500 x6
Ag 0.3333 0.6667 0.0000 x4

Record 5
Y3Ag2 | PBE | relaxed

Properties
Calculated formation energy, eV/f.u.: -0.80
Offset from the most stable computed form, eV/f.u.: 0.48

Unit cell a=11.421 b=3.546 c=7.966 alpha=90.00 beta=126.31 gamma=90.00
Space group C2/m (No. 12)
Unique sites:
Y 0.000 0.000 0.000 x2
Y 0.165 0.000 0.755 x4
Ag 0.119 0.500 0.392 x4

Record 6
Y3Ag5 | PBE | relaxed

Properties
Calculated formation energy, eV/f.u.: -2.07
Offset from the most stable computed form, eV/f.u.: 0.00

Unit cell a=7.4799 b=7.4799 c=3.8572 alpha=90.00 beta=90.00 gamma=120.00
Space group P-62m (No. 189)
Unique sites:
Y 0.0000 0.6153 0.0000 x3
Ag 0.0000 0.2336 0.5000 x3
Ag 0.3333 0.6667 0.5000 x2